[1]
HoEr3B2Pb2 | OQMD | GGA-PBE | relaxed; space group = No. 156; ρ = 9.50 g/cm3; electronic total energy = -5.0987 eV/atom
1.0
3.667 0.000 0.000
-1.833 3.175 0.000
0.000 0.000 16.551
Ho Er B Pb
1 3 2 2
Direct
0.000 0.000 0.000
0.000 0.000 0.678
0.667 0.333 0.179
0.667 0.333 0.500
0.333 0.667 0.090
0.333 0.667 0.589
0.000 0.000 0.340
0.667 0.333 0.839

---

[2]
HoEr3Sn2B2 | OQMD | GGA-PBE | relaxed; space group = No. 156; ρ = 8.26 g/cm3; electronic total energy = -5.2186 eV/atom
1.0
3.623 0.000 0.000
-1.811 3.137 0.000
0.000 0.000 16.364
Ho Er Sn B
1 3 2 2
Direct
0.000 0.000 0.000
0.000 0.000 0.315
0.333 0.667 0.500
0.333 0.667 0.814
0.000 0.000 0.657
0.333 0.667 0.158
0.667 0.333 0.407
0.667 0.333 0.907

---

[3]
HoErTlB | OQMD | GGA-PBE | relaxed; space group = No. 164; ρ = 9.55 g/cm3; electronic total energy = -4.6555 eV/atom
1.0
3.618 0.000 0.000
-1.809 3.134 0.000
0.000 0.000 16.798
Ho Er Tl B
2 2 2 2
Direct
0.333 0.667 0.408
0.667 0.333 0.592
0.333 0.667 0.090
0.667 0.333 0.910
0.333 0.667 0.751
0.667 0.333 0.249
0.000 0.000 0.000
0.000 0.000 0.500

---

[4]
HoErTlB | OQMD | GGA-PBE | relaxed; space group = No. 187; ρ = 9.56 g/cm3; electronic total energy = -4.6554 eV/atom
1.0
3.617 0.000 0.000
-1.808 3.132 0.000
0.000 0.000 16.792
Ho Er Tl B
2 2 2 2
Direct
0.000 0.000 0.159
0.000 0.000 0.841
0.667 0.333 0.342
0.667 0.333 0.658
0.000 0.000 0.500
0.667 0.333 0.000
0.333 0.667 0.251
0.333 0.667 0.749

---

[5]
Er4BI5 | OQMD | GGA-PBE | relaxed; space group = No. 12; ρ = 6.73 g/cm3; electronic total energy = -4.3249 eV/atom
1.0
9.648 -2.008 0.000
9.648 2.008 0.000
-1.832 0.000 8.372
Er B I
4 1 5
Direct
0.000 0.000 0.193
0.000 0.000 0.807
0.369 0.369 0.935
0.631 0.631 0.065
0.500 0.500 0.000
0.163 0.163 0.338
0.168 0.168 0.825
0.500 0.500 0.500
0.832 0.832 0.175
0.837 0.837 0.662

---

[6]
Er4BI5 | OQMD | GGA-PBE | relaxed; space group = No. 12; ρ = 6.82 g/cm3; electronic total energy = -4.3255 eV/atom
1.0
9.500 -2.010 0.000
9.500 2.010 0.000
-1.860 0.000 8.380
Er B I
4 1 5
Direct
0.001 0.001 0.307
0.367 0.367 0.433
0.633 0.633 0.567
0.999 0.999 0.693
0.500 0.500 0.500
0.165 0.165 0.840
0.171 0.171 0.326
0.500 0.500 0.000
0.829 0.829 0.674
0.835 0.835 0.160

---

[7]
Nd2Er2BI5 | OQMD | GGA-PBE | relaxed; space group = No. 12; ρ = 6.07 g/cm3; electronic total energy = -4.3847 eV/atom
1.0
9.680 -2.054 0.000
9.680 2.054 0.000
-1.918 0.000 8.719
Nd Er B I
2 2 1 5
Direct
0.001 0.001 0.298
0.999 0.999 0.702
0.368 0.368 0.434
0.632 0.632 0.566
0.500 0.500 0.500
0.168 0.168 0.825
0.173 0.173 0.340
0.500 0.500 0.000
0.827 0.827 0.660
0.832 0.832 0.175

---

[8]
Er2Sc2BI5 | OQMD | GGA-PBE | relaxed; space group = No. 12; ρ = 5.27 g/cm3; electronic total energy = -4.6647 eV/atom
1.0
10.320 -1.970 0.000
10.320 1.970 0.000
-1.701 0.000 8.297
Er Sc B I
2 2 1 5
Direct
0.000 0.000 0.196
0.000 0.000 0.804
0.385 0.385 0.943
0.615 0.615 0.057
0.500 0.500 0.000
0.154 0.154 0.318
0.154 0.154 0.832
0.500 0.500 0.500
0.846 0.846 0.168
0.846 0.846 0.682